(1)
Here is HfZr2AlO after structural relaxation from the Alexandria database. Energies are from PBE.

Output
space group	P4/mmm, No. 123
energy	-41.39	eV for the cell shown
D(E_F)	5.666	states/eV/f.u.
ΔE_f (raw)	-1.128	eV per atom

Cell lengths 4.550, 4.550, 4.250 Å; angles 90.00, 90.00, 90.00 degrees
Positions (direct):
O 0.000 0.000 0.000
Hf 0.000 0.000 0.500
Al 0.500 0.500 0.500
Zr 0.000 0.500 0.000
Zr 0.500 0.000 0.000



(2)
Here is HfAlOs after structural relaxation from the Alexandria database. Energies are from PBE.

Output
space group	Cmcm, No. 63
energy	-51.89	eV for the cell shown
energy of formation from the pure elements	-0.34	eV per atom
D(E_F)	1.401	states/eV/f.u.

Cell lengths 4.592, 4.592, 5.465 Å; angles 90.00, 90.00, 116.25 degrees
Positions (direct):
Hf 0.653 0.347 0.750
Hf 0.347 0.653 0.250
Os 0.303 0.697 0.750
Os 0.697 0.303 0.250
Al 0.000 0.000 0.000
Al 0.000 0.000 0.500



(3)
Here is Hf6Al16Os7 after structural relaxation from the Alexandria database. Energies are from PBE.

Output
space group	Fm-3m, No. 225
energy	-213.67	eV for the cell shown
energy of formation from the pure elements	-0.53	eV per atom
D(E_F)	24.902	states/eV/f.u.

Cell lengths 8.711, 8.711, 8.711 Å; angles 60.00, 60.00, 60.00 degrees
Positions (direct):
Hf 0.207 0.793 0.793
Hf 0.793 0.207 0.207
Hf 0.793 0.207 0.793
Hf 0.793 0.793 0.207
Hf 0.207 0.793 0.207
Hf 0.207 0.207 0.793
Al 0.837 0.837 0.837
Al 0.837 0.837 0.488
Al 0.488 0.837 0.837
Al 0.837 0.488 0.837
Al 0.163 0.163 0.163
Al 0.163 0.163 0.512
Al 0.163 0.512 0.163
Al 0.512 0.163 0.163
Al 0.620 0.620 0.620
Al 0.620 0.620 0.140
Al 0.140 0.620 0.620
Al 0.620 0.140 0.620
Al 0.380 0.380 0.380
Al 0.380 0.380 0.860
Al 0.380 0.860 0.380
Al 0.860 0.380 0.380
Os 0.500 0.500 0.500
Os 0.000 0.500 0.500
Os 0.500 0.000 0.000
Os 0.500 0.000 0.500
Os 0.500 0.500 0.000
Os 0.000 0.500 0.000
Os 0.000 0.000 0.500



(4)
Here is Hf2Al2Os after structural relaxation from the Alexandria database. Energies are from PBE.

Output
space group	P4/mbm, No. 127
energy	-81.12	eV for the cell shown
energy of formation from the pure elements	-0.39	eV per atom
D(E_F)	1.693	states/eV/f.u.

Cell lengths 6.740, 6.740, 3.849 Å; angles 90.00, 90.00, 90.00 degrees
Last column: magnetic moment on the atom in μB.
Positions (direct):
Hf 0.171 0.671 0.500  0.01
Hf 0.671 0.829 0.500  0.01
Hf 0.829 0.329 0.500  0.01
Hf 0.329 0.171 0.500  0.01
Os 0.000 0.000 0.000  -0.09
Os 0.500 0.500 0.000  -0.09
Al 0.367 0.867 0.000  0.00
Al 0.867 0.633 0.000  0.00
Al 0.633 0.133 0.000  0.00
Al 0.133 0.367 0.000  0.00